! PBE-GGA ZrCoSnPt, optimized geometry; values from VASP
&SYSTEM
  ibrav = 0, nat = 4, ntyp = 4
/
ATOMIC_SPECIES
Zr 91.22 Zr.upf
Co 58.93 Co.upf
Sn 118.71 Sn.upf
Pt 195.08 Pt.upf
CELL_PARAMETERS angstrom
-3.380 -2.702 -1.581
0.926 -3.257 -3.124
-0.144 -4.447 1.197
ATOMIC_POSITIONS crystal
Zr 0.500 0.500 0.500
Co 0.250 0.250 0.250
Sn 0.000 0.000 0.000
Pt 0.750 0.750 0.750
! Magnetization (μB per formula unit): 1.20
! Space group: F-43m (216)
! Formation enthalpy at 0 K (eV/atom): -0.5057

***

! PBE-GGA NbTeOF2, optimized geometry; values from VASP
&SYSTEM
  ibrav = 0, nat = 5, ntyp = 4
/
ATOMIC_SPECIES
Nb 92.91 Nb.upf
Te 127.60 Te.upf
O 16.00 O.upf
F 19.00 F.upf
CELL_PARAMETERS angstrom
-3.973 -1.517 -1.236
1.662 -4.092 -0.322
-0.920 -0.672 3.783
ATOMIC_POSITIONS crystal
Nb 0.000 0.000 0.000
Te 0.500 0.500 0.500
O 0.000 0.000 0.500
F 0.000 0.500 0.000
F 0.500 0.000 0.000
! Magnetization (μB per formula unit): 0.00
! Space group: P4/mmm (123)
! Polymorph energy (0 for the lowest one) (meV/atom): 0

***

! PBE-GGA Mg2GaCl, optimized geometry; values from VASP
&SYSTEM
  ibrav = 0, nat = 4, ntyp = 3
/
ATOMIC_SPECIES
Mg 24.30 Mg.upf
Ga 69.72 Ga.upf
Cl 35.45 Cl.upf
CELL_PARAMETERS angstrom
-0.786 0.204 4.978
-4.707 0.015 1.811
-1.776 -4.041 2.440
ATOMIC_POSITIONS crystal
Mg 0.250 0.250 0.250
Mg 0.750 0.750 0.750
Ga 0.500 0.500 0.500
Cl 0.000 0.000 0.000
! Magnetization (μB per formula unit): 0.00
! Space group: Fm-3m (225)
! Polymorph energy (0 for the lowest one) (meV/atom): 195

***

! PBE-GGA AcMg2Ga4, optimized geometry; values from VASP
&SYSTEM
  ibrav = 0, nat = 14, ntyp = 3
/
ATOMIC_SPECIES
Ac 227.00 Ac.upf
Mg 24.30 Mg.upf
Ga 69.72 Ga.upf
CELL_PARAMETERS angstrom
-5.899 -1.837 0.655
0.151 -2.520 -5.706
3.961 -5.359 5.884
ATOMIC_POSITIONS crystal
Ac 0.750 0.244 0.000
Ac 0.250 0.756 0.000
Mg 0.091 0.683 0.387
Mg 0.409 0.296 0.613
Mg 0.909 0.317 0.613
Mg 0.591 0.704 0.387
Ga 0.790 0.822 0.159
Ga 0.710 0.662 0.841
Ga 0.210 0.178 0.841
Ga 0.290 0.338 0.159
Ga 0.086 0.159 0.326
Ga 0.414 0.833 0.674
Ga 0.914 0.841 0.674
Ga 0.586 0.167 0.326
! Magnetization (μB per formula unit): 0.00
! Space group: C2/c (15)
! Formation enthalpy at 0 K (eV/atom): -0.3597

***

! PBE-GGA AlNiPt2, optimized geometry; values from VASP
&SYSTEM
  ibrav = 0, nat = 4, ntyp = 3
/
ATOMIC_SPECIES
Ni 58.69 Ni.upf
Al 26.98 Al.upf
Pt 195.08 Pt.upf
CELL_PARAMETERS angstrom
-5.904 -5.179 3.010
-3.821 -5.714 4.846
-5.542 -3.510 5.263
ATOMIC_POSITIONS crystal
Ni 0.750 0.750 0.750
Al 0.250 0.250 0.250
Pt 0.997 0.997 0.997
Pt 0.503 0.503 0.503
! Magnetization (μB per formula unit): 0.00
! Space group: R-3m (166)
! Formation enthalpy at 0 K (eV/atom): -0.4418

***

! PBE-GGA Mn3Al4, optimized geometry; values from VASP
&SYSTEM
  ibrav = 0, nat = 7, ntyp = 2
/
ATOMIC_SPECIES
Mn 54.94 Mn.upf
Al 26.98 Al.upf
CELL_PARAMETERS angstrom
-3.474 -0.284 9.757
-2.215 -4.249 9.187
4.759 2.775 -8.775
ATOMIC_POSITIONS crystal
Mn 0.000 0.000 0.000
Mn 0.283 0.283 0.000
Mn 0.717 0.717 0.000
Al 0.150 0.150 0.000
Al 0.850 0.850 0.000
Al 0.434 0.434 0.000
Al 0.566 0.566 0.000
! Magnetization (μB per formula unit): 0.51
! Space group: I4/mmm (139)
! Formation enthalpy at 0 K (eV/atom): -0.1981
! Polymorph energy (0 for the lowest one) (meV/atom): 0

***

! PBE-GGA Ba2UAgS5, optimized geometry; values from VASP
&SYSTEM
  ibrav = 0, nat = 18, ntyp = 4
/
ATOMIC_SPECIES
Ba 137.33 Ba.upf
U 238.03 U.upf
Ag 107.87 Ag.upf
S 32.06 S.upf
CELL_PARAMETERS angstrom
-2.722 2.367 2.108
-5.533 -5.634 -4.958
0.047 -8.557 9.669
ATOMIC_POSITIONS crystal
Ba 0.879 0.758 0.814
Ba 0.107 0.213 0.689
Ba 0.121 0.242 0.314
Ba 0.893 0.787 0.189
U 0.794 0.588 0.517
U 0.206 0.412 0.017
Ag 0.562 0.125 0.940
Ag 0.438 0.875 0.440
S 0.348 0.695 0.006
S 0.702 0.405 0.882
S 0.498 0.996 0.772
S 0.285 0.570 0.651
S 0.931 0.862 0.552
S 0.652 0.305 0.506
S 0.298 0.595 0.382
S 0.502 0.004 0.272
S 0.715 0.430 0.151
S 0.069 0.138 0.052
! Magnetization (μB per formula unit): 1.00
! Space group: Cmc2_1 (36)
! E_tot (eV/atom): -5.768

***

! PBE-GGA LaYPd2, optimized geometry; values from VASP
&SYSTEM
  ibrav = 0, nat = 8, ntyp = 3
/
ATOMIC_SPECIES
Y 88.91 Y.upf
Pd 106.42 Pd.upf
La 138.91 La.upf
CELL_PARAMETERS angstrom
7.683 0.000 0.000
0.000 7.683 0.000
3.842 3.842 3.450
ATOMIC_POSITIONS crystal
Y 0.500 0.500 0.000
Y 0.250 0.750 0.500
Pd 0.617 0.125 0.250
Pd 0.133 0.625 0.250
Pd 0.375 0.383 0.750
Pd 0.875 0.867 0.750
La 0.000 0.000 0.000
La 0.750 0.250 0.500
! Magnetization (μB per formula unit): 0.00
! Space group: I-42d (122)
! Formation enthalpy at 0 K (eV/atom): -0.4831
! Polymorph energy (0 for the lowest one) (meV/atom): 377

***

> magnetization of number 5 (AlNiPt2)?

0.00 μB per formula unit

***

Please write out number 4 again, unchanged.
! PBE-GGA AcMg2Ga4, optimized geometry; values from VASP
&SYSTEM
  ibrav = 0, nat = 14, ntyp = 3
/
ATOMIC_SPECIES
Ac 227.00 Ac.upf
Mg 24.30 Mg.upf
Ga 69.72 Ga.upf
CELL_PARAMETERS angstrom
-5.899 -1.837 0.655
0.151 -2.520 -5.706
3.961 -5.359 5.884
ATOMIC_POSITIONS crystal
Ac 0.750 0.244 0.000
Ac 0.250 0.756 0.000
Mg 0.091 0.683 0.387
Mg 0.409 0.296 0.613
Mg 0.909 0.317 0.613
Mg 0.591 0.704 0.387
Ga 0.790 0.822 0.159
Ga 0.710 0.662 0.841
Ga 0.210 0.178 0.841
Ga 0.290 0.338 0.159
Ga 0.086 0.159 0.326
Ga 0.414 0.833 0.674
Ga 0.914 0.841 0.674
Ga 0.586 0.167 0.326
! Magnetization (μB per formula unit): 0.00
! Space group: C2/c (15)
! Formation enthalpy at 0 K (eV/atom): -0.3597